Entry P
## BaLa3Pt (GGA-PBE)

Data for an optimized crystal structure of BaLa3Pt.

Lattice parameters (Å, degrees): 5.887 5.887 5.887 90.00 90.00 90.00
Atoms (fractional coordinates):
Ba  0.000  0.000  0.000
La  0.000  0.500  0.500
La  0.500  0.000  0.500
La  0.500  0.500  0.000
Pt  0.500  0.500  0.500

Computed properties:
DOS(E_F): 8.97 states/eV/cell
V: 40.81 Å³ per atom

=====

Entry Q
## BaLa3Pt (GGA-PBE)

Data for an optimized crystal structure of BaLa3Pt.

Lattice parameters (Å, degrees): 11.087 11.087 11.087 146.24 146.24 48.50
Atoms (fractional coordinates):
Ba  0.200  0.200  0.000
Ba  0.800  0.800  0.000
La  0.032  0.532  0.500
La  0.124  0.377  0.747
La  0.468  0.968  0.500
La  0.623  0.369  0.747
La  0.623  0.876  0.253
La  0.631  0.377  0.253
Pt  0.500  0.500  0.000
Pt  0.750  0.250  0.500

Computed properties:
DOS(E_F): 7.62 states/eV/cell
V: 41.92 Å³ per atom

=====

Most stable structure, least stable structure: entry P, entry Q.